No. 1
The following is a PBE calculation of a geometry-optimized NiIrPt2 structure, from Alexandria via LeMat-Bulk.

- N(E_F): 1.39 states/eV per atom
- Energy of formation: -0.01 eV per atom
- ΔE to the lowest computed polymorph: 0.019 eV per atom

Cell lengths 2.743, 2.743, 7.569 Å; angles 90.00, 90.00, 90.00 degrees
Atoms (fractional coordinates):
Ni 0.500 0.500 0.742
Ir 0.000 0.000 0.519
Pt 0.000 0.000 0.981
Pt 0.500 0.500 0.258

No. 2
The following is a PBE calculation of a geometry-optimized LaFeAs2 structure, from Alexandria via LeMat-Bulk.

- N(E_F): 1.21 states/eV per atom
- Energy of formation: -0.55 eV per atom
- ΔE to the lowest computed polymorph: 0.125 eV per atom

Cell lengths 5.050, 5.050, 5.050 Å; angles 132.18, 107.82, 91.29 degrees
Atoms (fractional coordinates):
As 0.937 0.937 0.000
As 0.563 0.563 0.000
Fe 0.750 0.250 0.500
La 0.250 0.750 0.500

No. 3
The following is a PBE calculation of a geometry-optimized LiScCr2 structure, from Alexandria via LeMat-Bulk.

- N(E_F): 0.80 states/eV per atom
- Energy of formation: 0.61 eV per atom
- ΔE to the lowest computed polymorph: 0.344 eV per atom

Cell lengths 4.621, 4.621, 4.621 Å; angles 60.00, 60.00, 60.00 degrees
Atoms (fractional coordinates):
Sc 0.500 0.500 0.500
Cr 0.250 0.250 0.250
Cr 0.750 0.750 0.750
Li 0.000 0.000 0.000

No. 4
The following is a PBE calculation of a geometry-optimized Tb2Sm5Sc4 structure, from Alexandria via LeMat-Bulk.

- N(E_F): 1.56 states/eV per atom
- Energy of formation: 0.11 eV per atom
- ΔE to the lowest computed polymorph: 0.000 eV per atom

Cell lengths 3.543, 8.711, 10.945 Å; angles 84.81, 90.00, 90.00 degrees
Atoms (fractional coordinates):
Tb 0.000 0.926 0.637
Tb 0.000 0.074 0.363
Sm 0.000 0.455 0.328
Sm 0.000 0.847 0.137
Sm 0.000 0.500 0.000
Sm 0.000 0.153 0.863
Sm 0.000 0.545 0.672
Sc 0.500 0.251 0.568
Sc 0.500 0.802 0.873
Sc 0.500 0.749 0.432
Sc 0.500 0.198 0.127

No. 5
The following is a PBE calculation of a geometry-optimized YZr2N3 structure, from Alexandria via LeMat-Bulk.

- N(E_F): 0.20 states/eV per atom
- Formation energy without anion corrections: -1.6734 eV/atom

Cell lengths 3.328, 3.328, 7.441 Å; angles 102.93, 102.93, 89.97 degrees
Atoms (fractional coordinates):
Y 0.434 0.436 0.874
Zr 0.102 0.104 0.210
Zr 0.766 0.768 0.538
N 0.934 0.936 0.874
N 0.264 0.265 0.533
N 0.605 0.606 0.215

No. 6
The following is a PBE calculation of a geometry-optimized Ca3Sn3Rh2 structure, from Alexandria via LeMat-Bulk.

- N(E_F): 0.53 states/eV per atom
- Energy of formation: -0.66 eV per atom

Cell lengths 5.955, 8.421, 15.805 Å; angles 90.00, 90.00, 90.00 degrees
Atoms (fractional coordinates):
Ca 0.109 0.460 0.389
Ca 0.609 0.040 0.611
Ca 0.891 0.540 0.889
Ca 0.391 0.960 0.111
Ca 0.891 0.540 0.611
Ca 0.391 0.960 0.389
Ca 0.109 0.460 0.111
Ca 0.609 0.040 0.889
Ca 0.625 0.310 0.250
Ca 0.125 0.190 0.750
Ca 0.375 0.690 0.750
Ca 0.875 0.810 0.250
Sn 0.112 0.154 0.250
Sn 0.612 0.346 0.750
Sn 0.888 0.846 0.750
Sn 0.388 0.654 0.250
Sn 0.608 0.316 0.460
Sn 0.108 0.184 0.540
Sn 0.392 0.684 0.960
Sn 0.892 0.816 0.040
Sn 0.392 0.684 0.540
Sn 0.892 0.816 0.460
Sn 0.608 0.316 0.040
Sn 0.108 0.184 0.960
Rh 0.887 0.104 0.396
Rh 0.387 0.396 0.604
Rh 0.113 0.896 0.896
Rh 0.613 0.604 0.104
Rh 0.113 0.896 0.604
Rh 0.613 0.604 0.396
Rh 0.887 0.104 0.104
Rh 0.387 0.396 0.896